1.
DFT (PBE) results for Hg2BiSbO6 after structural relaxation.

Output
Space group: R-3, No. 148
Calculated volume in A^3/atom: 14.56
E_form (uncorrected) in eV per atom: -0.902

Structure (POSCAR):
```
Hg2BiSbO6
1.0
2.9181 1.6847 4.9363
-2.9181 1.6847 4.9363
0.0000 -3.3695 4.9363
Hg Bi Sb O
2 1 1 6
Direct
0.2489 0.2489 0.2489
0.7511 0.7511 0.7511
0.0000 0.0000 0.0000
0.5000 0.5000 0.5000
0.1540 0.7202 0.3890
0.2798 0.6110 0.8460
0.3890 0.1540 0.7202
0.6110 0.8460 0.2798
0.7202 0.3890 0.1540
0.8460 0.2798 0.6110
```

---

2.
DFT (PBE) results for ScSbSe2 after structural relaxation.

Output
Space group: P4mm, No. 99
Fermi-level density of states in states/eV/atom: 0.790
Calculated volume in A^3/atom: 23.01
E_form (uncorrected) in eV per atom: -0.643

Structure (POSCAR):
```
ScSbSe2
1.0
3.6437 0.0000 0.0000
0.0000 3.6437 0.0000
0.0000 0.0000 6.9329
Sc Sb Se
1 1 2
Direct
0.0000 0.0000 0.0000
0.5000 0.5000 0.6616
0.0000 0.0000 0.4269
0.5000 0.5000 0.1085
```

---

3.
DFT (PBE) results for Y3CBr3 after structural relaxation.

Output
Space group: P2_1/m, No. 11
Fermi-level density of states in states/eV/atom: 0.221
Calculated volume in A^3/atom: 25.24
E_form (uncorrected) in eV per atom: -1.315

Structure (POSCAR):
```
Y3CBr3
1.0
8.2868 0.0000 0.0000
0.0000 3.7938 0.0000
-0.4426 0.0000 11.2412
Y C Br
6 2 6
Direct
0.0859 0.2500 0.3950
0.1188 0.2500 0.8297
0.3084 0.7500 0.6201
0.6916 0.2500 0.3799
0.8812 0.7500 0.1703
0.9141 0.7500 0.6050
0.1221 0.2500 0.6190
0.8779 0.7500 0.3810
0.1359 0.2500 0.1245
0.3756 0.7500 0.8739
0.3815 0.7500 0.3688
0.6185 0.2500 0.6312
0.6244 0.2500 0.1261
0.8641 0.7500 0.8755
```